Computed, not measured: an optimized crystal structure of Li2VFeP4O14 at the PBE with a Hubbard U level of DFT.

Unit cell a=7.034 b=8.278 c=9.800 alpha=90.00 beta=108.47 gamma=90.00
Sites, in units of the cell vectors:
1 Li 0.166 0.000 0.089
2 Li 0.168 0.000 0.587
3 Li 0.832 0.500 0.413
4 Li 0.834 0.500 0.911
5 V 0.228 0.642 0.607
6 V 0.772 0.142 0.393
7 Fe 0.233 0.641 0.107
8 Fe 0.767 0.141 0.893
9 P 0.024 0.321 0.198
10 P 0.025 0.321 0.700
11 P 0.413 0.427 0.390
12 P 0.417 0.427 0.890
13 P 0.583 0.927 0.110
14 P 0.587 0.927 0.610
15 P 0.975 0.821 0.300
16 P 0.976 0.821 0.802
17 O 0.009 0.485 0.624
18 O 0.011 0.485 0.122
19 O 0.014 0.681 0.407
20 O 0.017 0.680 0.907
21 O 0.102 0.818 0.199
22 O 0.103 0.819 0.700
23 O 0.255 0.294 0.296
24 O 0.257 0.295 0.797
25 O 0.349 0.467 0.521
26 O 0.358 0.470 0.022
27 O 0.382 0.837 0.070
28 O 0.385 0.841 0.569
29 O 0.413 0.575 0.297
30 O 0.420 0.574 0.797
31 O 0.580 0.074 0.203
32 O 0.587 0.075 0.703
33 O 0.615 0.341 0.431
34 O 0.618 0.337 0.930
35 O 0.642 0.970 0.978
36 O 0.651 0.967 0.479
37 O 0.743 0.795 0.203
38 O 0.745 0.794 0.704
39 O 0.897 0.319 0.300
40 O 0.898 0.318 0.801
41 O 0.983 0.180 0.093
42 O 0.986 0.181 0.593
43 O 0.989 0.985 0.878
44 O 0.991 0.985 0.376

Computed properties:
Its space group is P2_1, No. 4. As for the total energy: -0.5228 Ry per atom. Its density of states at the Fermi level is 0.0 states/eV/cell.

Computed, not measured: an optimized crystal structure of Li2VFeP4O14 at the PBE with a Hubbard U level of DFT.

Unit cell a=7.186 b=8.279 c=9.764 alpha=90.00 beta=111.28 gamma=90.00
Sites, in units of the cell vectors:
1 Li 0.170 0.000 0.005
2 Li 0.326 0.500 0.496
3 Li 0.674 0.000 0.504
4 Li 0.830 0.500 0.995
5 V 0.280 0.141 0.507
6 V 0.720 0.641 0.493
7 Fe 0.224 0.642 0.991
8 Fe 0.776 0.142 0.009
9 P 0.098 0.428 0.683
10 P 0.212 0.321 0.186
11 P 0.288 0.821 0.312
12 P 0.402 0.926 0.817
13 P 0.598 0.426 0.183
14 P 0.712 0.321 0.688
15 P 0.788 0.821 0.814
16 P 0.902 0.928 0.317
17 O 0.005 0.576 0.588
18 O 0.076 0.796 0.330
19 O 0.084 0.181 0.100
20 O 0.130 0.486 0.118
21 O 0.199 0.471 0.845
22 O 0.238 0.340 0.622
23 O 0.251 0.318 0.351
24 O 0.252 0.818 0.147
25 O 0.260 0.838 0.878
26 O 0.302 0.967 0.655
27 O 0.374 0.984 0.381
28 O 0.414 0.680 0.399
29 O 0.424 0.294 0.167
30 O 0.495 0.074 0.911
31 O 0.505 0.574 0.089
32 O 0.576 0.794 0.833
33 O 0.586 0.180 0.601
34 O 0.626 0.484 0.619
35 O 0.698 0.467 0.345
36 O 0.740 0.338 0.122
37 O 0.748 0.318 0.853
38 O 0.749 0.818 0.649
39 O 0.762 0.840 0.378
40 O 0.801 0.971 0.155
41 O 0.870 0.986 0.882
42 O 0.916 0.681 0.900
43 O 0.924 0.296 0.670
44 O 0.995 0.076 0.412

Computed properties:
Its space group is P2_1, No. 4. As for the total energy: -0.5228 Ry per atom. Its density of states at the Fermi level is 0.0 states/eV/cell.

Computed, not measured: an optimized crystal structure of Li6V3FeP6O24 at the PBE with a Hubbard U level of DFT.

Unit cell a=8.565 b=8.613 c=8.722 alpha=119.58 beta=90.33 gamma=118.47
Sites, in units of the cell vectors:
1 Li 0.000 0.000 0.000
2 Li 0.028 0.352 0.926
3 Li 0.108 0.750 0.359
4 Li 0.493 0.009 0.251
5 Li 0.576 0.408 0.688
6 Li 0.607 0.760 0.615
7 V 0.164 0.164 0.449
8 V 0.438 0.595 0.163
9 V 0.656 0.166 0.944
10 Fe 0.948 0.592 0.665
11 P 0.048 0.375 0.258
12 P 0.253 0.101 0.781
13 P 0.347 0.655 0.829
14 P 0.555 0.386 0.356
15 P 0.752 0.098 0.547
16 P 0.850 0.662 0.063
17 O 0.034 0.852 0.224
18 O 0.113 0.912 0.794
19 O 0.118 0.253 0.286
20 O 0.143 0.591 0.781
21 O 0.192 0.033 0.578
22 O 0.196 0.548 0.229
23 O 0.241 0.292 0.923
24 O 0.360 0.464 0.691
25 O 0.402 0.722 0.033
26 O 0.406 0.212 0.384
27 O 0.456 0.164 0.823
28 O 0.486 0.509 0.329
29 O 0.489 0.844 0.818
30 O 0.568 0.908 0.387
31 O 0.605 0.255 0.193
32 O 0.675 0.646 0.114
33 O 0.718 0.565 0.544
34 O 0.751 0.299 0.600
35 O 0.753 0.073 0.714
36 O 0.849 0.685 0.896
37 O 0.851 0.462 0.012
38 O 0.886 0.195 0.069
39 O 0.926 0.113 0.496
40 O 0.997 0.505 0.421

Computed properties:
Its space group is P1, No. 1. As for the total energy: -0.5159 Ry per atom.

Computed, not measured: an optimized crystal structure of Li2VFeP4O14 at the PBE with a Hubbard U level of DFT.

Unit cell a=7.085 b=9.732 c=10.571 alpha=111.81 beta=108.32 gamma=91.76
Sites, in units of the cell vectors:
1 Li 0.000 0.000 0.000
2 Li 0.054 0.304 0.925
3 Li 0.478 0.284 0.567
4 Li 0.612 0.681 0.433
5 V 0.009 0.450 0.356
6 V 0.419 0.597 0.699
7 Fe 0.414 0.067 0.750
8 Fe 0.739 0.025 0.396
9 P 0.119 0.283 0.664
10 P 0.197 0.680 0.198
11 P 0.219 0.899 0.786
12 P 0.395 0.202 0.260
13 P 0.557 0.883 0.027
14 P 0.741 0.183 0.049
15 P 0.783 0.990 0.689
16 P 0.873 0.535 0.706
17 O 0.001 0.931 0.796
18 O 0.016 0.568 0.228
19 O 0.042 0.509 0.079
20 O 0.171 0.089 0.214
21 O 0.194 0.205 0.769
22 O 0.199 0.257 0.318
23 O 0.204 0.730 0.708
24 O 0.293 0.388 0.670
25 O 0.293 0.514 0.481
26 O 0.340 0.931 0.967
27 O 0.372 0.033 0.556
28 O 0.405 0.647 0.256
29 O 0.439 0.650 0.539
30 O 0.533 0.192 0.956
31 O 0.543 0.177 0.389
32 O 0.557 0.136 0.648
33 O 0.571 0.735 0.915
34 O 0.591 0.893 0.178
35 O 0.629 0.929 0.740
36 O 0.654 0.478 0.684
37 O 0.727 0.008 0.042
38 O 0.767 0.903 0.529
39 O 0.791 0.285 0.208
40 O 0.855 0.572 0.456
41 O 0.869 0.460 0.521
42 O 0.913 0.190 0.993
43 O 0.979 0.390 0.739
44 O 0.992 0.176 0.510

Computed properties:
Its space group is P1, No. 1. As for the total energy: -0.4705 Ry per atom.

Computed, not measured: an optimized crystal structure of Li2VFeP4O14 at the PBE with a Hubbard U level of DFT.

Unit cell a=7.187 b=8.279 c=9.766 alpha=90.00 beta=111.26 gamma=90.00
Sites, in units of the cell vectors:
1 Li 0.076 0.000 0.245
2 Li 0.420 0.499 0.254
3 Li 0.580 0.999 0.746
4 Li 0.924 0.500 0.755
5 V 0.470 0.141 0.242
6 V 0.530 0.641 0.758
7 Fe 0.026 0.641 0.259
8 Fe 0.974 0.141 0.741
9 P 0.038 0.323 0.063
10 P 0.152 0.426 0.568
11 P 0.347 0.927 0.933
12 P 0.461 0.819 0.437
13 P 0.539 0.319 0.563
14 P 0.653 0.427 0.067
15 P 0.848 0.926 0.432
16 P 0.962 0.823 0.937
17 O 0.001 0.320 0.899
18 O 0.012 0.336 0.629
19 O 0.049 0.469 0.406
20 O 0.121 0.486 0.132
21 O 0.165 0.182 0.150
22 O 0.174 0.794 0.918
23 O 0.244 0.573 0.663
24 O 0.253 0.075 0.840
25 O 0.326 0.294 0.581
26 O 0.335 0.678 0.352
27 O 0.377 0.983 0.369
28 O 0.445 0.967 0.096
29 O 0.489 0.841 0.873
30 O 0.500 0.317 0.398
31 O 0.500 0.817 0.602
32 O 0.511 0.341 0.127
33 O 0.555 0.467 0.904
34 O 0.623 0.483 0.631
35 O 0.665 0.178 0.648
36 O 0.674 0.794 0.419
37 O 0.747 0.575 0.160
38 O 0.756 0.073 0.337
39 O 0.826 0.294 0.082
40 O 0.835 0.682 0.850
41 O 0.879 0.986 0.868
42 O 0.951 0.969 0.594
43 O 0.988 0.836 0.371
44 O 0.999 0.820 0.101

Computed properties:
Its space group is P2_1, No. 4. As for the total energy: -0.5228 Ry per atom. Its density of states at the Fermi level is 0.0 states/eV/cell.

Computed, not measured: an optimized crystal structure of Li3VFeP4O14 at the PBE with a Hubbard U level of DFT.

Unit cell a=5.015 b=7.071 c=8.336 alpha=90.30 beta=90.47 gamma=108.68
Sites, in units of the cell vectors:
1 Li 0.000 0.000 0.000
2 Li 0.110 0.433 0.692
3 Li 0.655 0.681 0.499
4 V 0.044 0.063 0.348
5 Fe 0.631 0.614 0.867
6 P 0.054 0.421 0.068
7 P 0.226 0.865 0.671
8 P 0.432 0.816 0.173
9 P 0.622 0.252 0.559
10 O 0.033 0.844 0.814
11 O 0.064 0.857 0.512
12 O 0.212 0.926 0.180
13 O 0.215 0.411 0.913
14 O 0.262 0.581 0.193
15 O 0.385 0.711 0.667
16 O 0.433 0.248 0.415
17 O 0.457 0.085 0.688
18 O 0.585 0.847 0.014
19 O 0.635 0.861 0.319
20 O 0.702 0.451 0.652
21 O 0.795 0.481 0.038
22 O 0.902 0.214 0.522
23 O 0.988 0.222 0.158

Computed properties:
Its space group is P1, No. 1. As for the total energy: -0.5154 Ry per atom. Its density of states at the Fermi level is 0.0 states/eV/cell.

Computed, not measured: an optimized crystal structure of Li2VFeP4O14 at the PBE with a Hubbard U level of DFT.

Unit cell a=7.034 b=8.279 c=9.802 alpha=90.00 beta=108.49 gamma=90.00
Sites, in units of the cell vectors:
1 Li 0.167 0.000 0.338
2 Li 0.168 0.000 0.839
3 Li 0.832 0.500 0.161
4 Li 0.833 0.500 0.662
5 V 0.228 0.358 0.356
6 V 0.772 0.858 0.644
7 Fe 0.233 0.358 0.857
8 Fe 0.767 0.858 0.143
9 P 0.025 0.677 0.950
10 P 0.025 0.680 0.449
11 P 0.415 0.572 0.640
12 P 0.415 0.574 0.140
13 P 0.585 0.072 0.360
14 P 0.585 0.074 0.860
15 P 0.975 0.177 0.050
16 P 0.975 0.180 0.551
17 O 0.007 0.516 0.372
18 O 0.012 0.513 0.874
19 O 0.015 0.318 0.157
20 O 0.016 0.321 0.657
21 O 0.102 0.182 0.449
22 O 0.103 0.180 0.950
23 O 0.256 0.705 0.546
24 O 0.256 0.706 0.046
25 O 0.353 0.532 0.271
26 O 0.354 0.529 0.772
27 O 0.383 0.159 0.319
28 O 0.383 0.162 0.820
29 O 0.417 0.424 0.547
30 O 0.417 0.426 0.046
31 O 0.583 0.924 0.453
32 O 0.583 0.926 0.954
33 O 0.617 0.659 0.681
34 O 0.617 0.662 0.180
35 O 0.646 0.029 0.228
36 O 0.647 0.032 0.729
37 O 0.744 0.205 0.454
38 O 0.744 0.206 0.954
39 O 0.897 0.680 0.050
40 O 0.898 0.682 0.551
41 O 0.984 0.821 0.343
42 O 0.985 0.818 0.843
43 O 0.988 0.013 0.126
44 O 0.993 0.016 0.628

Computed properties:
Its space group is P2_1, No. 4. As for the total energy: -0.5228 Ry per atom. Its density of states at the Fermi level is 0.0 states/eV/cell.

Computed, not measured: an optimized crystal structure of Li2VFeP4O14 at the PBE with a Hubbard U level of DFT.

Unit cell a=7.186 b=9.619 c=9.620 alpha=118.75 beta=100.92 gamma=100.90
Sites, in units of the cell vectors:
1 Li 0.000 0.000 0.000
2 Li 0.002 0.498 0.498
3 Li 0.664 0.757 0.257
4 Li 0.668 0.258 0.759
5 V 0.061 0.832 0.191
6 V 0.606 0.567 0.426
7 Fe 0.066 0.333 0.692
8 Fe 0.600 0.065 0.924
9 P 0.248 0.033 0.608
10 P 0.248 0.534 0.107
11 P 0.418 0.649 0.722
12 P 0.419 0.151 0.224
13 P 0.808 0.102 0.279
14 P 0.809 0.601 0.781
15 P 0.857 0.476 0.154
16 P 0.859 0.978 0.657
17 O 0.088 0.482 0.186
18 O 0.090 0.983 0.690
19 O 0.185 0.892 0.425
20 O 0.189 0.395 0.924
21 O 0.216 0.542 0.705
22 O 0.217 0.048 0.207
23 O 0.249 0.201 0.628
24 O 0.250 0.703 0.127
25 O 0.414 0.628 0.554
26 O 0.419 0.131 0.056
27 O 0.450 0.050 0.712
28 O 0.450 0.552 0.211
29 O 0.476 0.832 0.862
30 O 0.484 0.334 0.366
31 O 0.577 0.069 0.274
32 O 0.578 0.569 0.775
33 O 0.729 0.310 0.992
34 O 0.732 0.812 0.493
35 O 0.816 0.993 0.813
36 O 0.819 0.492 0.313
37 O 0.821 0.114 0.128
38 O 0.826 0.615 0.631
39 O 0.841 0.626 0.142
40 O 0.845 0.128 0.643
41 O 0.848 0.944 0.263
42 O 0.850 0.445 0.766
43 O 0.935 0.765 0.947
44 O 0.936 0.264 0.445

Computed properties:
Its space group is P1, No. 1. As for the total energy: -0.5228 Ry per atom. Its density of states at the Fermi level is 0.0 states/eV/cell.

Please write out number 2 again, unchanged.
Computed, not measured: an optimized crystal structure of Li2VFeP4O14 at the PBE with a Hubbard U level of DFT.

Unit cell a=7.186 b=8.279 c=9.764 alpha=90.00 beta=111.28 gamma=90.00
Sites, in units of the cell vectors:
1 Li 0.170 0.000 0.005
2 Li 0.326 0.500 0.496
3 Li 0.674 0.000 0.504
4 Li 0.830 0.500 0.995
5 V 0.280 0.141 0.507
6 V 0.720 0.641 0.493
7 Fe 0.224 0.642 0.991
8 Fe 0.776 0.142 0.009
9 P 0.098 0.428 0.683
10 P 0.212 0.321 0.186
11 P 0.288 0.821 0.312
12 P 0.402 0.926 0.817
13 P 0.598 0.426 0.183
14 P 0.712 0.321 0.688
15 P 0.788 0.821 0.814
16 P 0.902 0.928 0.317
17 O 0.005 0.576 0.588
18 O 0.076 0.796 0.330
19 O 0.084 0.181 0.100
20 O 0.130 0.486 0.118
21 O 0.199 0.471 0.845
22 O 0.238 0.340 0.622
23 O 0.251 0.318 0.351
24 O 0.252 0.818 0.147
25 O 0.260 0.838 0.878
26 O 0.302 0.967 0.655
27 O 0.374 0.984 0.381
28 O 0.414 0.680 0.399
29 O 0.424 0.294 0.167
30 O 0.495 0.074 0.911
31 O 0.505 0.574 0.089
32 O 0.576 0.794 0.833
33 O 0.586 0.180 0.601
34 O 0.626 0.484 0.619
35 O 0.698 0.467 0.345
36 O 0.740 0.338 0.122
37 O 0.748 0.318 0.853
38 O 0.749 0.818 0.649
39 O 0.762 0.840 0.378
40 O 0.801 0.971 0.155
41 O 0.870 0.986 0.882
42 O 0.916 0.681 0.900
43 O 0.924 0.296 0.670
44 O 0.995 0.076 0.412

Computed properties:
Its space group is P2_1, No. 4. As for the total energy: -0.5228 Ry per atom. Its density of states at the Fermi level is 0.0 states/eV/cell.